First-principles (GGA-PBEsol) data for an optimized crystal structure of HgAs2Cl, as listed in Alexandria via LeMat-Bulk. Values from VASP.

Structure (Quantum ESPRESSO input):
```
&SYSTEM
  ibrav = 0, nat = 4, ntyp = 3
/
ATOMIC_SPECIES
Hg 200.59 Hg.upf
As 74.92 As.upf
Cl 35.45 Cl.upf
CELL_PARAMETERS angstrom
1.829 -2.752 0.000
1.829 2.752 0.000
0.000 0.000 8.444
ATOMIC_POSITIONS crystal
Hg 0.000 0.000 0.000
As 0.000 0.000 0.479
As 0.500 0.500 0.271
Cl 0.500 0.500 0.765
```

Summary:
space-group type: No. 35
formation energy from raw total energies: 0.124 eV/atom
volume: 21.25 A^3/atom

---

First-principles (GGA-PBEsol) data for an optimized crystal structure of Hg2AsCl2, as listed in Alexandria via LeMat-Bulk. Values from VASP.

Structure (Quantum ESPRESSO input):
```
&SYSTEM
  ibrav = 0, nat = 20, ntyp = 3
/
ATOMIC_SPECIES
Hg 200.59 Hg.upf
As 74.92 As.upf
Cl 35.45 Cl.upf
CELL_PARAMETERS angstrom
6.985 -4.137 0.000
6.985 4.137 0.000
-1.200 0.000 8.780
ATOMIC_POSITIONS crystal
Hg 0.219 0.219 0.981
Hg 0.222 0.731 0.742
Hg 0.269 0.778 0.258
Hg 0.276 0.276 0.449
Hg 0.724 0.724 0.551
Hg 0.731 0.222 0.742
Hg 0.778 0.269 0.258
Hg 0.781 0.781 0.019
As 0.041 0.041 0.888
As 0.443 0.443 0.591
As 0.557 0.557 0.409
As 0.959 0.959 0.112
Cl 0.005 0.453 0.235
Cl 0.110 0.110 0.512
Cl 0.392 0.392 0.022
Cl 0.453 0.005 0.235
Cl 0.547 0.995 0.765
Cl 0.608 0.608 0.978
Cl 0.890 0.890 0.488
Cl 0.995 0.547 0.765
```

Summary:
space-group type: No. 12
formation energy from raw total energies: -0.400 eV/atom
volume: 25.37 A^3/atom

---

First-principles (GGA-PBEsol) data for an optimized crystal structure of HgAs2Cl, as listed in Alexandria via LeMat-Bulk. Values from VASP.

Structure (Quantum ESPRESSO input):
```
&SYSTEM
  ibrav = 0, nat = 4, ntyp = 3
/
ATOMIC_SPECIES
Hg 200.59 Hg.upf
As 74.92 As.upf
Cl 35.45 Cl.upf
CELL_PARAMETERS angstrom
0.000 3.004 5.061
2.793 0.000 5.061
2.793 3.004 0.000
ATOMIC_POSITIONS crystal
Hg 0.000 0.000 0.000
As 0.000 0.500 0.500
As 0.500 0.000 0.000
Cl 0.500 0.500 0.500
```

Summary:
space-group type: No. 69
formation energy from raw total energies: 0.222 eV/atom
volume: 21.24 A^3/atom

---

First-principles (GGA-PBEsol) data for an optimized crystal structure of Hg2AsCl, as listed in Alexandria via LeMat-Bulk. Values from VASP.

Structure (Quantum ESPRESSO input):
```
&SYSTEM
  ibrav = 0, nat = 8, ntyp = 3
/
ATOMIC_SPECIES
Hg 200.59 Hg.upf
As 74.92 As.upf
Cl 35.45 Cl.upf
CELL_PARAMETERS angstrom
-2.996 2.996 6.625
2.996 -2.996 6.625
2.996 2.996 -6.625
ATOMIC_POSITIONS crystal
Hg 0.073 0.625 0.948
Hg 0.375 0.323 0.448
Hg 0.677 0.125 0.052
Hg 0.875 0.927 0.552
As 0.000 0.000 0.000
As 0.750 0.250 0.500
Cl 0.250 0.750 0.500
Cl 0.500 0.500 0.000
```

Summary:
space-group type: No. 122
formation energy from raw total energies: -0.155 eV/atom
volume: 29.73 A^3/atom

---

First-principles (GGA-PBEsol) data for an optimized crystal structure of Hg2AsCl, as listed in Alexandria via LeMat-Bulk. Values from VASP.

Structure (Quantum ESPRESSO input):
```
&SYSTEM
  ibrav = 0, nat = 4, ntyp = 3
/
ATOMIC_SPECIES
Hg 200.59 Hg.upf
As 74.92 As.upf
Cl 35.45 Cl.upf
CELL_PARAMETERS angstrom
2.025 1.169 6.633
-2.025 1.169 6.633
0.000 -2.338 6.633
ATOMIC_POSITIONS crystal
Hg 0.239 0.239 0.239
Hg 0.761 0.761 0.761
As 0.500 0.500 0.500
Cl 0.000 0.000 0.000
```

Summary:
space-group type: No. 166
formation energy from raw total energies: -0.075 eV/atom
volume: 23.56 A^3/atom

---

First-principles (GGA-PBEsol) data for an optimized crystal structure of HgAsCl2, as listed in Alexandria via LeMat-Bulk. Values from VASP.

Structure (Quantum ESPRESSO input):
```
&SYSTEM
  ibrav = 0, nat = 4, ntyp = 3
/
ATOMIC_SPECIES
Hg 200.59 Hg.upf
As 74.92 As.upf
Cl 35.45 Cl.upf
CELL_PARAMETERS angstrom
4.053 -1.729 0.000
4.053 1.729 0.000
-0.270 0.000 7.551
ATOMIC_POSITIONS crystal
Hg 0.000 0.000 0.000
As 0.317 0.317 0.803
Cl 0.452 0.452 0.560
Cl 0.684 0.684 0.191
```

Summary:
space-group type: No. 8
formation energy from raw total energies: -0.221 eV/atom
volume: 26.46 A^3/atom